1.
In2PbW: optimized geometry, PBE.

a b c (Å): 7.4621 7.4621 7.4621
angles (deg): 157.10 141.39 45.37
Positions (direct):
In 0.1886 0.1886 0.0000
In 0.8114 0.8114 0.0000
Pb 0.5000 0.0000 0.5000
W 0.0000 0.5000 0.5000

## Properties
The total magnetization comes out at 0.00 μB/f.u. The final energy comes out at -19.77 eV/f.u. The crystal system is orthorhombic. The space group is Immm (71).

=====

2.
In2PbW: optimized geometry, PBE.

a b c (Å): 3.0478 3.0478 10.0214
angles (deg): 90.00 90.00 90.00
Positions (direct):
In 0.0000 0.0000 0.2085
In 0.0000 0.0000 0.7915
Pb 0.5000 0.5000 0.5000
W 0.5000 0.5000 0.0000

## Properties
The total magnetization comes out at 0.00 μB/f.u. The final energy comes out at -19.84 eV/f.u. The crystal system is tetragonal. The space group is P4/mmm (123).

=====

3.
InPbW2: optimized geometry, PBE.

a b c (Å): 3.3552 4.7299 4.9157
angles (deg): 90.00 90.00 90.00
Positions (direct):
In 0.0000 0.0000 0.0000
Pb 0.5000 0.0000 0.5000
W 0.0000 0.5000 0.5000
W 0.5000 0.5000 0.0000

## Properties
Its distance to the lowest polymorph of the same formula is 539 meV per atom. The total magnetization comes out at 0.00 μB/f.u. The final energy comes out at -28.30 eV/f.u. The crystal system is orthorhombic. The space group is Pmmm (47).

=====

4.
In2PbW: optimized geometry, PBE.

a b c (Å): 4.9740 5.8960 5.8960
angles (deg): 31.42 90.00 90.00
Positions (direct):
In 0.0000 0.0000 0.0000
In 0.5000 0.4005 0.4005
Pb 0.5000 0.6650 0.6650
W 0.0000 0.2676 0.2676

## Properties
The total magnetization comes out at 0.00 μB/f.u. The final energy comes out at -19.48 eV/f.u. The crystal system is orthorhombic. The space group is Amm2 (38).

=====

5.
In2PbW: optimized geometry, PBE.

a b c (Å): 3.0703 3.0703 10.1744
angles (deg): 90.00 90.00 105.38
Positions (direct):
In 0.0000 0.0000 0.2167
In 0.0000 0.0000 0.7833
Pb 0.5000 0.5000 0.5000
W 0.5000 0.5000 0.0000

## Properties
The total magnetization comes out at 0.00 μB/f.u. The final energy comes out at -19.88 eV/f.u. The crystal system is orthorhombic. The space group is Cmmm (65).

=====

6.
InPb2W: optimized geometry, PBE.

a b c (Å): 5.2091 5.2091 5.2091
angles (deg): 60.00 60.00 60.00
Positions (direct):
In 0.0000 0.0000 0.0000
Pb 0.2500 0.2500 0.2500
Pb 0.5000 0.5000 0.5000
W 0.7500 0.7500 0.7500

## Properties
The total magnetization comes out at 2.59 μB/f.u. The final energy comes out at -18.97 eV/f.u. The crystal system is cubic. The space group is F-43m (216).

=====

7.
InPb2W: optimized geometry, PBE.

a b c (Å): 11.3225 11.3225 11.3225
angles (deg): 158.19 158.19 31.04
Positions (direct):
In 0.0000 0.0000 0.0000
In 0.7500 0.2500 0.5000
Pb 0.1310 0.6250 0.0060
Pb 0.3750 0.3810 0.5060
Pb 0.6190 0.1250 0.9940
Pb 0.8750 0.8690 0.4940
W 0.2500 0.7500 0.5000
W 0.5000 0.5000 0.0000

## Properties
The total magnetization comes out at 0.00 μB/f.u. The final energy comes out at -18.90 eV/f.u. The crystal system is tetragonal. The space group is I-42d (122).

=====

8.
In2PbW: optimized geometry, PBE.

a b c (Å): 3.8021 3.8021 6.1688
angles (deg): 90.00 90.00 90.00
Positions (direct):
In 0.0000 0.0000 0.0000
In 0.5000 0.5000 0.2558
Pb 0.0000 0.0000 0.5333
W 0.5000 0.5000 0.7791

## Properties
The total magnetization comes out at 0.00 μB/f.u. The final energy comes out at -19.38 eV/f.u. The crystal system is tetragonal. The space group is P4mm (99).

=====

9.
InPb2W: optimized geometry, PBE.

a b c (Å): 3.1245 3.4330 9.2274
angles (deg): 90.00 90.00 90.00
Positions (direct):
In 0.0000 0.0000 0.0000
Pb 0.0000 0.0000 0.5946
Pb 0.5000 0.5000 0.2746
W 0.5000 0.5000 0.8099

## Properties
The total magnetization comes out at 0.00 μB/f.u. The final energy comes out at -20.48 eV/f.u. The crystal system is orthorhombic. The space group is Pmm2 (25).

=====

10.
InPb2W: optimized geometry, PBE.

a b c (Å): 11.2037 11.2037 11.2037
angles (deg): 16.57 16.57 16.57
Positions (direct):
In 0.0000 0.0000 0.0000
Pb 0.2390 0.2390 0.2390
Pb 0.7610 0.7610 0.7610
W 0.5000 0.5000 0.5000

## Properties
The total magnetization comes out at 0.00 μB/f.u. The final energy comes out at -20.52 eV/f.u. The crystal system is trigonal. The space group is R-3m (166).

=====

11.
In2PbW: optimized geometry, PBE.

a b c (Å): 5.3568 5.3568 3.1470
angles (deg): 90.00 90.00 90.00
Positions (direct):
In 0.0000 0.5000 0.0000
In 0.5000 0.0000 0.0000
Pb 0.0000 0.0000 0.5000
W 0.5000 0.5000 0.5000

## Properties
The total magnetization comes out at 0.00 μB/f.u. The final energy comes out at -18.95 eV/f.u. The crystal system is tetragonal. The space group is P4/mmm (123).

=====

12.
In2PbW: optimized geometry, PBE.

a b c (Å): 4.2869 4.2869 4.9161
angles (deg): 90.00 90.00 90.00
Positions (direct):
In 0.0000 0.5000 0.0000
In 0.5000 0.0000 0.0000
Pb 0.0000 0.0000 0.5000
W 0.5000 0.5000 0.5000

## Properties
The total magnetization comes out at 1.51 μB/f.u. The final energy comes out at -18.54 eV/f.u. The crystal system is tetragonal. The space group is P4/mmm (123).

=====

13.
In2PbW: optimized geometry, PBE.

a b c (Å): 11.1224 11.1224 11.1224
angles (deg): 16.16 16.16 16.16
Positions (direct):
In 0.2389 0.2389 0.2389
In 0.7611 0.7611 0.7611
Pb 0.0000 0.0000 0.0000
W 0.5000 0.5000 0.5000

## Properties
The total magnetization comes out at 0.00 μB/f.u. The final energy comes out at -20.04 eV/f.u. The crystal system is trigonal. The space group is R-3m (166).

=====

14.
InPb2W: optimized geometry, PBE.

a b c (Å): 3.0935 3.4348 9.4511
angles (deg): 90.00 90.01 90.00
Positions (direct):
In 0.0000 0.0000 0.0000
Pb 0.0005 0.0000 0.3960
Pb 0.0022 0.5000 0.7135
W 0.5003 0.5000 0.1890

## Properties
The total magnetization comes out at 0.00 μB/f.u. The final energy comes out at -20.59 eV/f.u. The crystal system is monoclinic. The space group is Pm (6).

=====

15.
In2PbW: optimized geometry, PBE.

a b c (Å): 7.5898 7.5898 7.5898
angles (deg): 157.48 142.18 44.47
Positions (direct):
In 0.0000 0.0000 0.0000
In 0.6768 0.1768 0.5000
Pb 0.3137 0.8137 0.5000
W 0.5002 0.5002 0.0000

## Properties
The total magnetization comes out at 0.00 μB/f.u. The final energy comes out at -20.25 eV/f.u. The crystal system is orthorhombic. The space group is Imm2 (44).

=====

16.
InPb3W: optimized geometry, PBE.

a b c (Å): 5.6444 5.6444 5.6444
angles (deg): 90.00 90.00 90.00
Positions (direct):
In 0.0000 0.0000 0.0000
Pb 0.0000 0.0000 0.5000
Pb 0.0000 0.5000 0.0000
Pb 0.5000 0.0000 0.0000
W 0.5000 0.5000 0.5000

## Properties
Its distance to the lowest polymorph of the same formula is 1048 meV per atom. The total magnetization comes out at 4.38 μB/f.u. The final energy comes out at -18.53 eV/f.u. The crystal system is cubic. The space group is Pm-3m (221).

=====

17.
In2PbW: optimized geometry, PBE.

a b c (Å): 3.1929 5.0840 5.7709
angles (deg): 90.00 103.63 90.00
Positions (direct):
In 0.1379 0.0000 0.2700
In 0.8621 0.0000 0.7300
Pb 0.5000 0.5000 0.0000
W 0.5000 0.5000 0.5000

## Properties
The total magnetization comes out at 0.00 μB/f.u. The final energy comes out at -19.28 eV/f.u. The crystal system is monoclinic. The space group is P2/m (10).

=====

18.
InPb2W: optimized geometry, PBE.

a b c (Å): 7.7099 7.7099 7.7099
angles (deg): 157.11 142.86 44.07
Positions (direct):
In 0.0000 0.0000 0.0000
Pb 0.3212 0.8212 0.5000
Pb 0.6788 0.1788 0.5000
W 0.5000 0.5000 0.0000

## Properties
The total magnetization comes out at 0.00 μB/f.u. The final energy comes out at -21.03 eV/f.u. The crystal system is orthorhombic. The space group is Immm (71).

=====

19.
Y2In3Pb3: optimized geometry, PBE.

a b c (Å): 4.6990 4.9489 9.3323
angles (deg): 90.00 90.00 90.00
Positions (direct):
Y 0.0000 0.0000 0.2459
Y 0.0000 0.0000 0.7541
In 0.0000 0.5000 0.0000
In 0.5000 0.5000 0.2424
In 0.5000 0.5000 0.7576
Pb 0.0000 0.5000 0.5000
Pb 0.5000 0.0000 0.0000
Pb 0.5000 0.0000 0.5000

## Properties
The total magnetization comes out at 0.00 μB/f.u. The final energy comes out at -34.97 eV/f.u. The crystal system is orthorhombic. The space group is Pmmm (47).

=====

20.
Y2InPb2: optimized geometry, PBE.

a b c (Å): 8.0555 8.0555 4.4542
angles (deg): 90.00 90.00 90.00
Positions (direct):
Y 0.1726 0.3274 0.0000
Y 0.3274 0.8274 0.0000
Y 0.6726 0.1726 0.0000
Y 0.8274 0.6726 0.0000
In 0.0000 0.0000 0.5000
In 0.5000 0.5000 0.5000
Pb 0.1341 0.6341 0.5000
Pb 0.3659 0.1341 0.5000
Pb 0.6341 0.8659 0.5000
Pb 0.8659 0.3659 0.5000

## Properties
Its distance to the lowest polymorph of the same formula is 0 meV per atom. The total magnetization comes out at 0.00 μB/f.u. The final energy comes out at -24.96 eV/f.u. The crystal system is tetragonal. The space group is P4/mbm (127).

=====

21.
YIn2Pb: optimized geometry, PBE.

a b c (Å): 6.0498 6.0498 6.0498
angles (deg): 135.73 135.73 64.40
Positions (direct):
Y 0.0000 0.0000 0.0000
In 0.5000 0.5000 0.0000
In 0.7500 0.2500 0.5000
Pb 0.2500 0.7500 0.5000

## Properties
The total magnetization comes out at 0.00 μB/f.u. The final energy comes out at -16.97 eV/f.u. The crystal system is tetragonal. The space group is I-4m2 (119).

=====

22.
YIn2Pb: optimized geometry, PBE.

a b c (Å): 6.1140 6.1140 6.1140
angles (deg): 136.89 136.89 62.61
Positions (direct):
Y 0.0000 0.0000 0.0000
In 0.2500 0.7500 0.5000
In 0.7500 0.2500 0.5000
Pb 0.5000 0.5000 0.0000

## Properties
The total magnetization comes out at 0.00 μB/f.u. The final energy comes out at -17.00 eV/f.u. The crystal system is tetragonal. The space group is I4/mmm (139).

=====

23.
YInPb2: optimized geometry, PBE.

a b c (Å): 6.1750 6.1750 6.1750
angles (deg): 136.19 136.19 63.69
Positions (direct):
Y 0.0000 0.0000 0.0000
In 0.2500 0.7500 0.5000
Pb 0.5000 0.5000 0.0000
Pb 0.7500 0.2500 0.5000

## Properties
The total magnetization comes out at 0.00 μB/f.u. The final energy comes out at -17.78 eV/f.u. The crystal system is tetragonal. The space group is I-4m2 (119).

=====

24.
YIn2Pb: optimized geometry, PBE.

a b c (Å): 10.2816 10.2816 10.2816
angles (deg): 20.40 20.40 20.40
Positions (direct):
Y 0.0000 0.0000 0.0000
In 0.2498 0.2498 0.2498
In 0.7502 0.7502 0.7502
Pb 0.5000 0.5000 0.5000

## Properties
The total magnetization comes out at 0.01 μB/f.u. The final energy comes out at -16.12 eV/f.u. The crystal system is trigonal. The space group is R-3m (166).

=====

25.
YInPb2: optimized geometry, PBE.

a b c (Å): 5.6446 5.6446 3.6537
angles (deg): 90.00 90.00 101.05
Positions (direct):
Y 0.0000 0.0000 0.0000
In 0.5000 0.5000 0.0000
Pb 0.0000 0.5000 0.5000
Pb 0.5000 0.0000 0.5000

## Properties
The total magnetization comes out at 0.00 μB/f.u. The final energy comes out at -17.62 eV/f.u. The crystal system is orthorhombic. The space group is Cmmm (65).

=====

26.
Y8InPb5: optimized geometry, PBE.

a b c (Å): 8.1471 8.1471 8.1471
angles (deg): 109.47 109.47 109.48
Positions (direct):
Y 0.0151 0.6264 0.7495
Y 0.2326 0.4829 0.1087
Y 0.3736 0.1232 0.3887
Y 0.3742 0.1238 0.8913
Y 0.5171 0.6258 0.7496
Y 0.7345 0.9849 0.6113
Y 0.8762 0.7674 0.2504
Y 0.8768 0.2655 0.2505
In 0.0000 0.0000 0.0000
Pb 0.1255 0.2501 0.6255
Pb 0.2500 0.7500 0.5000
Pb 0.5000 0.8745 0.1245
Pb 0.6245 0.5000 0.3745
Pb 0.7499 0.3755 0.8755

## Properties
The total magnetization comes out at 0.00 μB/f.u. The final energy comes out at -80.56 eV/f.u. The crystal system is tetragonal. The space group is I-4 (82).

=====

27.
Y2InPb2: optimized geometry, PBE.

a b c (Å): 8.7446 8.7446 3.8958
angles (deg): 90.00 90.00 90.00
Positions (direct):
Y 0.1395 0.3605 0.0000
Y 0.3605 0.8605 0.0000
Y 0.6395 0.1395 0.0000
Y 0.8605 0.6395 0.0000
In 0.0000 0.0000 0.0000
In 0.5000 0.5000 0.0000
Pb 0.1664 0.6664 0.5000
Pb 0.3336 0.1664 0.5000
Pb 0.6664 0.8336 0.5000
Pb 0.8336 0.3336 0.5000

## Properties
Its distance to the lowest polymorph of the same formula is 85 meV per atom. The total magnetization comes out at 0.00 μB/f.u. The final energy comes out at -24.54 eV/f.u. The crystal system is tetragonal. The space group is P4/mbm (127).

=====

28.
Y2InPb2: optimized geometry, PBE.

a b c (Å): 5.0984 17.4149 3.5970
angles (deg): 90.00 90.00 90.00
Positions (direct):
Y 0.0113 0.1801 0.0000
Y 0.4887 0.6801 0.0000
Y 0.5113 0.3199 0.0000
Y 0.9887 0.8199 0.0000
In 0.0000 0.0000 0.0000
In 0.5000 0.5000 0.0000
Pb 0.0110 0.3612 0.5000
Pb 0.4890 0.8612 0.5000
Pb 0.5110 0.1388 0.5000
Pb 0.9890 0.6388 0.5000

## Properties
Its distance to the lowest polymorph of the same formula is 192 meV per atom. The total magnetization comes out at 0.12 μB/f.u. The final energy comes out at -24.00 eV/f.u. The crystal system is orthorhombic. The space group is Pbam (55).

=====

no.,ΔE_f (eV/atom)
1,0.5930
2,0.5754
3,1.0136
4,0.6639
5,0.5648
6,1.0334
7,1.0515
8,0.6885
9,0.6563
10,0.6464
11,0.7966
12,0.9003
13,0.5254
14,0.6298
15,0.4733
16,1.6571
17,0.7145
18,0.5194
19,-0.3377
20,-0.3757
21,-0.3314
22,-0.3373
23,-0.2893
24,-0.1183
25,-0.2509
26,-0.5409
27,-0.2912
28,-0.1838